Entry 1:
CoPd2C | GGA-PBE | optimized geometry

Cell lengths 7.517, 7.517, 5.648 Å; angles 48.28, 48.28, 90.00 degrees
Element x y z (fractional)
Pd  0.875  0.736  0.750
Pd  0.264  0.625  0.250
C  0.500  0.500  0.000
Co  0.750  0.250  0.500
Co  0.000  0.000  0.000
Pd  0.375  0.514  0.750
C  0.250  0.750  0.500
Pd  0.486  0.125  0.250

Computed properties:
* D(E_F): 1.807 states/eV/f.u.
* formation enthalpy at 0 K: 537 meV per atom
* energy: -6.14 eV/atom

=====

Entry 2:
CoPdC2 | GGA-PBE | optimized geometry

Cell lengths 4.527, 4.527, 5.464 Å; angles 65.53, 65.53, 90.00 degrees
Element x y z (fractional)
Co  0.500  0.500  0.000
Co  0.250  0.750  0.500
C  0.875  0.831  0.750
C  0.375  0.419  0.750
C  0.169  0.625  0.250
Pd  0.000  0.000  0.000
Pd  0.750  0.250  0.500
C  0.581  0.125  0.250

Computed properties:
* D(E_F): 2.119 states/eV/f.u.
* excess energy over the best structure of this formula in the dataset: 0 meV/atom
* formation enthalpy at 0 K: 884 meV per atom
* energy: -6.80 eV/atom

=====

Entry 3:
CoPd3C | GGA-PBE | optimized geometry

Cell lengths 4.544, 4.544, 4.544 Å; angles 90.00, 90.00, 90.00 degrees
Element x y z (fractional)
Pd  0.000  0.000  0.500
Co  0.000  0.000  0.000
C  0.500  0.500  0.500
Pd  0.500  0.000  0.000
Pd  0.000  0.500  0.000

Computed properties:
* D(E_F): 6.519 states/eV/f.u.
* excess energy over the best structure of this formula in the dataset: 1602 meV/atom
* formation enthalpy at 0 K: 2088 meV per atom
* energy: -4.29 eV/atom

=====

Entry 4:
Co3PdC | GGA-PBE | optimized geometry

Cell lengths 4.535, 4.535, 4.535 Å; angles 90.00, 90.00, 90.00 degrees
Element x y z (fractional)
C  0.500  0.500  0.500
Co  0.000  0.500  0.000
Co  0.000  0.000  0.500
Co  0.500  0.000  0.000
Pd  0.000  0.000  0.000

Computed properties:
* D(E_F): 6.601 states/eV/f.u.
* excess energy over the best structure of this formula in the dataset: 2458 meV/atom
* formation enthalpy at 0 K: 2630 meV per atom
* energy: -4.52 eV/atom

=====

Entry 5:
CoPdC2 | GGA-PBE | optimized geometry

Cell lengths 3.755, 3.755, 3.755 Å; angles 60.00, 60.00, 60.00 degrees
Element x y z (fractional)
C  0.250  0.250  0.250
Co  0.000  0.000  0.000
C  0.750  0.750  0.750
Pd  0.500  0.500  0.500

Computed properties:
* D(E_F): 3.423 states/eV/f.u.
* excess energy over the best structure of this formula in the dataset: 786 meV/atom
* formation enthalpy at 0 K: 1670 meV per atom
* energy: -6.02 eV/atom

=====

Entry 6:
Co3PdC | GGA-PBE | optimized geometry

Cell lengths 3.802, 3.802, 3.802 Å; angles 90.00, 90.00, 90.00 degrees
Element x y z (fractional)
Co  0.000  0.500  0.000
Co  0.000  0.000  0.500
C  0.000  0.000  0.000
Pd  0.500  0.500  0.500
Co  0.500  0.000  0.000

Computed properties:
* D(E_F): 5.831 states/eV/f.u.
* excess energy over the best structure of this formula in the dataset: 0 meV/atom
* formation enthalpy at 0 K: 172 meV per atom
* energy: -6.97 eV/atom

=====

Entry 7:
Sc2CoPdC | GGA-PBE | optimized geometry

Cell lengths 4.597, 4.597, 3.576 Å; angles 90.00, 90.00, 90.00 degrees
Element x y z (fractional)
Sc  0.000  0.500  0.000
Co  0.000  0.000  0.500
C  0.000  0.000  0.000
Pd  0.500  0.500  0.500
Sc  0.500  0.000  0.000

Computed properties:
* D(E_F): 4.301 states/eV/f.u.
* formation enthalpy at 0 K: -581 meV per atom
* energy: -7.42 eV/atom

=====

Entry 8:
CoPdCSe2 | GGA-PBE | optimized geometry

Cell lengths 4.868, 4.719, 4.868 Å; angles 90.00, 90.00, 90.00 degrees
Element x y z (fractional)
Se  0.000  0.000  0.500
Pd  0.000  0.000  0.000
Se  0.500  0.000  0.000
Co  0.000  0.500  0.000
C  0.500  0.500  0.500

Computed properties:
* D(E_F): 5.532 states/eV/f.u.
* E_form (uncorrected): 2.01 eV per atom
* energy: -3.69 eV/atom

=====

Entry 9:
Ti2CoPdC | GGA-PBE | optimized geometry

Cell lengths 4.186, 4.186, 3.726 Å; angles 90.00, 90.00, 90.00 degrees
Element x y z (fractional)
C  0.000  0.000  0.000
Ti  0.000  0.500  0.000
Co  0.000  0.000  0.500
Ti  0.500  0.000  0.000
Pd  0.500  0.500  0.500

Computed properties:
* D(E_F): 4.322 states/eV/f.u.
* formation enthalpy at 0 K: -457 meV per atom
* energy: -7.92 eV/atom

=====

Entry 10:
TiCoPd2C | GGA-PBE | optimized geometry

Cell lengths 4.572, 4.168, 4.572 Å; angles 90.00, 90.00, 90.00 degrees
Element x y z (fractional)
Co  0.000  0.000  0.000
Pd  0.500  0.000  0.000
Pd  0.000  0.000  0.500
Ti  0.000  0.500  0.000
C  0.500  0.500  0.500

Computed properties:
* D(E_F): 5.580 states/eV/f.u.
* formation enthalpy at 0 K: 1709 meV per atom
* energy: -5.21 eV/atom

=====

Entry 11:
TlCo2PdC | GGA-PBE | optimized geometry

Cell lengths 4.860, 3.811, 4.860 Å; angles 90.00, 90.00, 90.00 degrees
Element x y z (fractional)
Tl  0.500  0.500  0.500
Co  0.000  0.000  0.500
C  0.000  0.500  0.000
Co  0.500  0.000  0.000
Pd  0.000  0.000  0.000

Computed properties:
* D(E_F): 8.130 states/eV/f.u.
* formation enthalpy at 0 K: 1378 meV per atom
* energy: -4.82 eV/atom

=====

Entry 12:
Zr2CoPdC | GGA-PBE | optimized geometry

Cell lengths 4.605, 4.605, 3.663 Å; angles 90.00, 90.00, 90.00 degrees
Element x y z (fractional)
Zr  0.000  0.500  0.000
C  0.000  0.000  0.000
Co  0.000  0.000  0.500
Pd  0.500  0.500  0.500
Zr  0.500  0.000  0.000

Computed properties:
* D(E_F): 4.503 states/eV/f.u.
* formation enthalpy at 0 K: -491 meV per atom
* energy: -8.21 eV/atom

=====

Q: Number 3 is which compound?
A: CoPd3C

=====

Q: Look up the energy of the second one.
A: -6.80 eV/atom

=====

Q: Number 8 is which compound?
A: CoPdCSe2